# 1
Below is crystalline Pm5BiPt2 at its relaxed geometry, with properties calculated at the PBE level.

Summary:
- Mass density: 9.67 Mg/m³
- Total energy: -5.82 eV per atom

Lattice parameters (Å, degrees): 8.0628 8.0628 13.9867 90.00 90.00 90.00
Space group I4/mcm (No. 140)
One atom of each set of equivalent atoms:
1 Pm 0.0000 0.0000 0.0000 (multiplicity 4)
2 Pm 0.1563 0.3437 0.1365 (multiplicity 16)
3 Bi 0.0000 0.0000 0.2500 (multiplicity 4)
4 Pt 0.1378 0.3622 0.5000 (multiplicity 8)

---

# 2
Below is crystalline Pm5Bi5Pt at its relaxed geometry, with properties calculated at the PBE level.

Summary:
- Mass density: 8.60 Mg/m³
- Total energy: -5.09 eV per atom

Lattice parameters (Å, degrees): 14.2652 6.3076 8.9944 90.00 110.42 90.00
Space group C2/m (No. 12)
One atom of each set of equivalent atoms:
1 Pm 0.0000 0.0000 0.0000 (multiplicity 2)
2 Pm 0.1601 0.5000 0.3142 (multiplicity 4)
3 Pm 0.1661 0.5000 0.8471 (multiplicity 4)
4 Bi 0.0000 0.5000 0.5000 (multiplicity 2)
5 Bi 0.1478 0.0000 0.7989 (multiplicity 4)
6 Bi 0.1719 0.0000 0.3395 (multiplicity 4)
7 Pt 0.0000 0.5000 0.0000 (multiplicity 2)

---

# 3
Below is crystalline Pm4BiPt2 at its relaxed geometry, with properties calculated at the PBE level.

Summary:
- Mass density: 9.74 Mg/m³
- Total energy: -5.86 eV per atom

Lattice parameters (Å, degrees): 13.2490 13.3649 9.0831 90.00 90.00 90.00
Space group Fdd2 (No. 43)
One atom of each set of equivalent atoms:
1 Pm 0.0575 0.1184 0.0000 (multiplicity 16)
2 Pm 0.1214 0.4451 0.8427 (multiplicity 16)
3 Bi 0.0000 0.0000 0.6709 (multiplicity 8)
4 Pt 0.0757 0.1731 0.2959 (multiplicity 16)

---

# 4
Below is crystalline Pm3BiPt8 at its relaxed geometry, with properties calculated at the PBE level.

Summary:
- Mass density: 15.48 Mg/m³
- Total energy: -6.44 eV per atom

Lattice parameters (Å, degrees): 5.5204 5.5204 26.8861 90.00 90.00 120.00
Space group R3m (No. 160, hexagonal axes)
One atom of each set of equivalent atoms:
1 Pm 0.0000 0.0000 0.0000 (multiplicity 3)
2 Pm 0.0000 0.0000 0.1290 (multiplicity 3)
3 Pm 0.0000 0.0000 0.5134 (multiplicity 3)
4 Bi 0.0000 0.0000 0.6411 (multiplicity 3)
5 Pt 0.0000 0.0000 0.3174 (multiplicity 3)
6 Pt 0.0000 0.0000 0.8177 (multiplicity 3)
7 Pt 0.0047 0.5024 0.0704 (multiplicity 9)
8 Pt 0.1681 0.3363 0.8990 (multiplicity 9)

---

# 5
Below is crystalline PmPuBiPt at its relaxed geometry, with properties calculated at the PBE level.

Summary:
- Mass density: 12.51 Mg/m³
- Total energy: -7.84 eV per atom

Lattice parameters (Å, degrees): 7.4956 7.4956 7.4956 90.00 90.00 90.00
Space group F-43m (No. 216)
One atom of each set of equivalent atoms:
1 Pm 0.0000 0.0000 0.0000 (multiplicity 4)
2 Pu 0.0000 0.0000 0.5000 (multiplicity 4)
3 Bi 0.2500 0.2500 0.7500 (multiplicity 4)
4 Pt 0.2500 0.2500 0.2500 (multiplicity 4)

---

# 6
Below is crystalline PmBiPtRh at its relaxed geometry, with properties calculated at the PBE level.

Summary:
- Mass density: 12.66 Mg/m³
- Total energy: -6.07 eV per atom

Lattice parameters (Å, degrees): 6.9939 6.9939 6.9939 90.00 90.00 90.00
Space group F-43m (No. 216)
One atom of each set of equivalent atoms:
1 Pm 0.0000 0.0000 0.0000 (multiplicity 4)
2 Bi 0.0000 0.0000 0.5000 (multiplicity 4)
3 Pt 0.2500 0.2500 0.7500 (multiplicity 4)
4 Rh 0.2500 0.2500 0.2500 (multiplicity 4)

---

no.,Fermi-level density of states (states/eV per cell)
1,33.3
2,14.9
3,58.6
4,15.8
5,49.5
6,8.1